No. 1
Entry from the Alexandria database: a relaxed structure of BiRu2Pb (PBEsol).

Density, g cm⁻³: 14.10
Space-group type: Fm-3m (225)
E_tot, eV/cell: -26.57
Size of the total moment, μB/cell: 0.0
Calculated volume, Å³/cell: 72.80

abc: 4.687 4.687 4.687
angles: 60.00 60.00 60.00
Atoms (fractional coordinates):
Ru  0.250  0.250  0.250
Ru  0.750  0.750  0.750
Pb  0.000  0.000  0.000
Bi  0.500  0.500  0.500

---

No. 2
Entry from the Alexandria database: a relaxed structure of Zn2BiRuPb (PBEsol).

Density, g cm⁻³: 9.07
Space-group type: P4/mmm (123)
E_tot, eV/cell: -19.62
Size of the total moment, μB/cell: 0.0
Calculated volume, Å³/cell: 118.62

abc: 4.836 4.836 5.072
angles: 90.00 90.00 90.00
Atoms (fractional coordinates):
Ru  0.000  0.000  0.000
Zn  0.000  0.500  0.000
Zn  0.500  0.000  0.000
Bi  0.000  0.000  0.500
Pb  0.500  0.500  0.500

---

No. 3
Entry from the Alexandria database: a relaxed structure of Bi3PbS (PBEsol).

Density, g cm⁻³: 7.41
Formation energy from raw total energies, meV/atom: 1158
Space-group type: Pm-3m (221)
Size of the total moment, μB/cell: 1.1
Calculated volume, Å³/cell: 194.09

abc: 5.790 5.790 5.790
angles: 90.00 90.00 90.00
Site moments in Bohr magnetons follow the coordinates.
Atoms (fractional coordinates):
Bi  0.000  0.000  0.500  0.08
Bi  0.000  0.500  0.000  0.08
Bi  0.500  0.000  0.000  0.08
S  0.500  0.500  0.500  0.43
Pb  0.000  0.000  0.000  0.00